The following is a DFT calculation (PBE) of crystalline La5InAg4 at its relaxed geometry.

a = 3.8167 Å, b = 3.8167 Å, c = 19.5976 Å
α = 90.00°, β = 90.00°, γ = 90.00°
Last column: nearest neighbours and their distance in Å.
Sites, in units of the cell vectors:
La  0.0000  0.0000  0.0000  8 Ag 3.31
La  0.0000  0.0000  0.1966  8 Ag 3.30-3.32
La  0.0000  0.0000  0.3932  4 Ag 3.33, 4 In 3.42
La  0.0000  0.0000  0.6068  4 Ag 3.33, 4 In 3.42
La  0.0000  0.0000  0.8034  8 Ag 3.30-3.32
In  0.5000  0.5000  0.5000  8 La 3.42, 4 In 3.82
Ag  0.5000  0.5000  0.0977  8 La 3.31-3.32
Ag  0.5000  0.5000  0.2934  8 La 3.30-3.33
Ag  0.5000  0.5000  0.7066  8 La 3.30-3.33
Ag  0.5000  0.5000  0.9023  8 La 3.31-3.32

**Formation energy**: -0.31 eV per atom

The following is a DFT calculation (PBE) of crystalline La3In9Ag2 at its relaxed geometry.

a = 9.1852 Å, b = 9.1852 Å, c = 9.1852 Å
α = 150.11°, β = 103.93°, γ = 83.81°
Last column: nearest neighbours and their distance in Å.
Sites, in units of the cell vectors:
La  0.0000  0.0000  0.0000  12 In 3.52-3.65
La  0.3162  0.3162  0.0000  2 Ag 3.41, 10 In 3.45-3.51
La  0.6838  0.6838  0.0000  2 Ag 3.41, 10 In 3.45-3.51
In  0.0313  0.6583  0.3730  4 In 2.88-3.03, 1 Ag 2.89
In  0.1445  0.8658  0.2787  4 In 2.94-3.10, 2 Ag 3.00
In  0.2853  0.6583  0.6270  4 In 2.88-3.03, 1 Ag 2.89
In  0.4129  0.1342  0.2787  4 In 2.94-3.10, 2 Ag 3.00
In  0.5000  0.0000  0.5000  4 In 3.10, 4 Ag 3.30, 4 La 3.45
In  0.5871  0.8658  0.7213  4 In 2.94-3.10, 2 Ag 3.00
In  0.7147  0.3417  0.3730  4 In 2.88-3.03, 1 Ag 2.89
In  0.8555  0.1342  0.7213  4 In 2.94-3.10, 2 Ag 3.00
In  0.9687  0.3417  0.6270  4 In 2.88-3.03, 1 Ag 2.89
Ag  0.2965  0.5000  0.7965  6 In 2.89-3.00
Ag  0.7035  0.5000  0.2035  6 In 2.89-3.00

**Formation energy**: -0.38 eV per atom

The following is a DFT calculation (PBE) of crystalline La2InAg at its relaxed geometry.

a = 5.3605 Å, b = 5.3605 Å, c = 5.3605 Å
α = 60.00°, β = 60.00°, γ = 60.00°
Last column: nearest neighbours and their distance in Å.
Sites, in units of the cell vectors:
La  0.0000  0.0000  0.0000  4 La 3.28, 4 Ag 3.28
La  0.2500  0.2500  0.2500  4 La 3.28, 4 In 3.28
In  0.5000  0.5000  0.5000  4 La 3.28, 4 Ag 3.28
Ag  0.7500  0.7500  0.7500  4 In 3.28, 4 La 3.28

**Formation energy**: -0.09 eV per atom

The following is a DFT calculation (PBE) of crystalline La8InAg2 at its relaxed geometry.

a = 8.6668 Å, b = 8.6668 Å, c = 5.6748 Å
α = 99.29°, β = 99.29°, γ = 116.49°
Last column: nearest neighbours and their distance in Å.
Sites, in units of the cell vectors:
La  0.0803  0.2994  0.5828  2 Ag 3.22-3.40, 2 La 3.23-3.30, 1 In 3.61
La  0.2347  0.7653  0.0000  2 Ag 3.05
La  0.2994  0.0803  0.5828  2 Ag 3.22-3.40, 2 La 3.23-3.30, 1 In 3.61
La  0.3934  0.3934  0.1891  2 Ag 3.28, 2 La 3.31-3.47, 1 In 3.42
La  0.6066  0.6066  0.8109  2 Ag 3.28, 2 La 3.31-3.47, 1 In 3.42
La  0.7006  0.9197  0.4172  2 Ag 3.22-3.40, 2 La 3.23-3.30, 1 In 3.61
La  0.7653  0.2347  0.0000  2 Ag 3.05
La  0.9197  0.7006  0.4172  2 Ag 3.22-3.40, 2 La 3.23-3.30, 1 In 3.61
In  0.0000  0.0000  0.0000  12 La 3.42-3.71
Ag  0.3114  0.6886  0.5000  8 La 3.05-3.40
Ag  0.6886  0.3114  0.5000  8 La 3.05-3.40

**Formation energy**: -0.11 eV per atom
**Relative energy among the computed polymorphs**: 0.060 eV per atom

The following is a DFT calculation (PBE) of crystalline LaIn2Ag3 at its relaxed geometry.

a = 4.8714 Å, b = 4.8714 Å, c = 13.5255 Å
α = 90.00°, β = 90.00°, γ = 120.00°
Last column: nearest neighbours and their distance in Å.
Sites, in units of the cell vectors:
La  0.0000  0.0000  0.2500  8 Ag 3.19-3.38
La  0.0000  0.0000  0.7500  8 Ag 3.19-3.38
In  0.3333  0.6667  0.0852  7 Ag 2.90-3.04
In  0.3333  0.6667  0.4148  7 Ag 2.90-3.04
In  0.6667  0.3333  0.5852  7 Ag 2.90-3.04
In  0.6667  0.3333  0.9148  7 Ag 2.90-3.04
Ag  0.0000  0.0000  0.0000  6 In 3.04, 2 La 3.38, 6 Ag 3.38
Ag  0.0000  0.0000  0.5000  6 In 3.04, 2 La 3.38, 6 Ag 3.38
Ag  0.3333  0.6667  0.6388  4 In 2.90-3.03, 1 Ag 3.01, 3 La 3.19
Ag  0.3333  0.6667  0.8612  4 In 2.90-3.03, 1 Ag 3.01, 3 La 3.19
Ag  0.6667  0.3333  0.1388  4 In 2.90-3.03, 1 Ag 3.01, 3 La 3.19
Ag  0.6667  0.3333  0.3612  4 In 2.90-3.03, 1 Ag 3.01, 3 La 3.19

**Formation energy**: -0.24 eV per atom

The following is a DFT calculation (PBE) of crystalline La2InAg at its relaxed geometry.

a = 11.8052 Å, b = 11.8052 Å, c = 11.8052 Å
α = 156.96°, β = 156.96°, γ = 32.81°
Last column: nearest neighbours and their distance in Å.
Sites, in units of the cell vectors:
La  0.1148  0.6250  0.9898  4 La 3.27-3.40, 2 In 3.27, 2 Ag 3.30
La  0.3750  0.3648  0.4898  4 La 3.27-3.40, 2 In 3.27, 2 Ag 3.30
La  0.6352  0.1250  0.0102  4 La 3.27-3.40, 2 In 3.27, 2 Ag 3.30
La  0.8750  0.8852  0.5102  4 La 3.27-3.40, 2 In 3.27, 2 Ag 3.30
In  0.0000  0.0000  0.0000  4 La 3.27, 4 Ag 3.33
In  0.7500  0.2500  0.5000  4 La 3.27, 4 Ag 3.33
Ag  0.2500  0.7500  0.5000  4 La 3.30, 4 In 3.33
Ag  0.5000  0.5000  0.0000  4 La 3.30, 4 In 3.33

**Formation energy**: 0.16 eV per atom

The following is a DFT calculation (PBE) of crystalline La12InAg5 at its relaxed geometry.

a = 9.0765 Å, b = 9.0765 Å, c = 9.0765 Å
α = 111.99°, β = 110.29°, γ = 106.19°
Last column: nearest neighbours and their distance in Å.
Sites, in units of the cell vectors:
La  0.0446  0.8242  0.2204  3 Ag 3.12-3.32, 1 In 3.48
La  0.2468  0.5533  0.3065  3 Ag 3.16-3.39, 1 In 3.39
La  0.2468  0.9403  0.6935  3 Ag 3.16-3.39, 1 In 3.39
La  0.2711  0.3198  0.5909  4 Ag 3.31-3.35, 1 La 3.66
La  0.2711  0.6802  0.9512  4 Ag 3.31-3.35, 1 La 3.66
La  0.3961  0.1758  0.2204  3 Ag 3.12-3.32, 1 In 3.48
La  0.6039  0.8242  0.7796  3 Ag 3.12-3.32, 1 In 3.48
La  0.7289  0.3198  0.0488  4 Ag 3.31-3.35, 1 La 3.66
La  0.7289  0.6802  0.4091  4 Ag 3.31-3.35, 1 La 3.66
La  0.7532  0.0597  0.3065  3 Ag 3.16-3.39, 1 In 3.39
La  0.7532  0.4467  0.6935  3 Ag 3.16-3.39, 1 In 3.39
La  0.9554  0.1758  0.7796  3 Ag 3.12-3.32, 1 In 3.48
In  0.5000  0.0000  0.5000  8 La 3.39-3.48
Ag  0.0000  0.1428  0.1428  1 Ag 2.90, 2 La 3.16
Ag  0.0000  0.5000  0.5000  8 La 3.33-3.35, 2 Ag 3.63
Ag  0.0000  0.8572  0.8572  1 Ag 2.90, 2 La 3.16
Ag  0.3706  0.3706  0.0000  1 Ag 2.82, 2 La 3.12
Ag  0.6294  0.6294  0.0000  1 Ag 2.82, 2 La 3.12

**Formation energy**: -0.18 eV per atom

The following is a DFT calculation (PBE) of crystalline La3In2Ag at its relaxed geometry.

a = 3.7545 Å, b = 3.7545 Å, c = 12.6989 Å
α = 90.00°, β = 90.00°, γ = 90.00°
Last column: nearest neighbours and their distance in Å.
Sites, in units of the cell vectors:
La  0.0000  0.0000  0.0000  8 In 3.46, 4 La 3.75
La  0.0000  0.0000  0.3436  4 Ag 3.32, 4 In 3.41
La  0.0000  0.0000  0.6564  4 Ag 3.32, 4 In 3.41
In  0.5000  0.5000  0.1747  8 La 3.41-3.46, 4 In 3.75
In  0.5000  0.5000  0.8253  8 La 3.41-3.46, 4 In 3.75
Ag  0.5000  0.5000  0.5000  8 La 3.32

**Formation energy**: -0.43 eV per atom

The following is a DFT calculation (PBE) of crystalline La2InAg at its relaxed geometry.

a = 9.9614 Å, b = 9.9614 Å, c = 9.9614 Å
α = 22.43°, β = 22.43°, γ = 22.43°
Last column: nearest neighbours and their distance in Å.
Sites, in units of the cell vectors:
La  0.2470  0.2470  0.2470  3 Ag 3.24, 3 In 3.37
La  0.7530  0.7530  0.7530  3 Ag 3.24, 3 In 3.37
In  0.0000  0.0000  0.0000  6 La 3.37
Ag  0.5000  0.5000  0.5000  6 La 3.24

**Formation energy**: -0.17 eV per atom

The following is a DFT calculation (PBE) of crystalline La2In3Ag4 at its relaxed geometry.

a = 9.0141 Å, b = 9.0141 Å, c = 8.2065 Å
α = 90.00°, β = 90.00°, γ = 138.86°
Last column: nearest neighbours and their distance in Å.
Sites, in units of the cell vectors:
La  0.1062  0.8938  0.9051  7 Ag 3.32-3.52, 2 In 3.37
La  0.3938  0.6062  0.4051  7 Ag 3.32-3.52, 2 In 3.37
La  0.6062  0.3938  0.5949  7 Ag 3.32-3.52, 2 In 3.37
La  0.8938  0.1062  0.0949  7 Ag 3.32-3.52, 2 In 3.37
In  0.0000  0.0000  0.5000  6 Ag 2.81-2.90
In  0.0156  0.4844  0.7500  5 Ag 2.87-2.95, 2 In 3.17
In  0.4844  0.0156  0.2500  5 Ag 2.87-2.95, 2 In 3.17
In  0.5000  0.5000  0.0000  6 Ag 2.81-2.90
In  0.5156  0.9844  0.7500  5 Ag 2.87-2.95, 2 In 3.17
In  0.9844  0.5156  0.2500  5 Ag 2.87-2.95, 2 In 3.17
Ag  0.1716  0.8284  0.5164  5 In 2.90-2.95
Ag  0.1857  0.3143  0.7500  3 In 2.81-2.87
Ag  0.3143  0.1857  0.2500  3 In 2.81-2.87
Ag  0.3284  0.6716  0.0164  5 In 2.90-2.95
Ag  0.6716  0.3284  0.9836  5 In 2.90-2.95
Ag  0.6857  0.8143  0.7500  3 In 2.81-2.87
Ag  0.8143  0.6857  0.2500  3 In 2.81-2.87
Ag  0.8284  0.1716  0.4836  5 In 2.90-2.95

**Formation energy**: -0.28 eV per atom

Calculated volume values (in Å³/cell) by entry order: 285.5, 366.5, 108.9, 363.1, 278.0, 251.8, 574.1, 179.0, 126.2, 438.7.